Density functional theory data (PBE) for crystalline LaPrY6Ho2 at its relaxed geometry.

Cell lengths 9.289, 15.115, 9.586 Å; angles 90.00, 96.18, 90.00 degrees
Space group C2/c (No. 15)
Unique sites:
La 0.000 0.033 0.250
Pr 0.000 0.410 0.750
Y 0.065 0.181 0.942
Y 0.094 0.389 0.113
Y 0.212 0.228 0.321
Ho 0.247 0.052 0.552

Density of states at the Fermi level, states/eV per atom: 1.59
ρ, g/cm3: 5.67
Spin magnetization, μB/cell: 0.01
VASP energy, eV/cell: -225.77

---

Density functional theory data (PBE) for crystalline Sm2TlRu at its relaxed geometry.

Cell lengths 3.9357, 3.9357, 25.2183 Å; angles 90.00, 90.00, 120.00 degrees
Space group R-3m (No. 166, hexagonal axes)
Unique sites:
Sm 0.0000 0.0000 0.2316
Tl 0.0000 0.0000 0.0000
Ru 0.0000 0.0000 0.5000

Density of states at the Fermi level, states/eV per atom: 0.74
ρ, g/cm3: 8.93
Spin magnetization, μB/cell: 0.00
Energy above the most stable polymorph in this dataset, eV/atom: 0.153

---

Density functional theory data (PBE) for crystalline TbDyFeAu at its relaxed geometry.

Cell lengths 7.023, 7.023, 7.023 Å; angles 90.00, 90.00, 90.00 degrees
Space group F-43m (No. 216)
Unique sites:
Tb 0.000 0.000 0.000
Dy 0.000 0.000 0.500
Fe 0.250 0.250 0.250
Au 0.250 0.250 0.750

Density of states at the Fermi level, states/eV per atom: 1.63
ρ, g/cm3: 11.01
Spin magnetization, μB/cell: 5.60
VASP energy, eV/cell: -88.37

---

Density functional theory data (PBE) for crystalline TbHo2Cd6 at its relaxed geometry.

Cell lengths 8.6136, 8.6136, 3.4191 Å; angles 90.00, 90.00, 120.00 degrees
Space group P6/mmm (No. 191)
Unique sites:
Tb 0.0000 0.0000 0.0000
Ho 0.3333 0.6667 0.0000
Cd 0.0000 0.3341 0.5000

Density of states at the Fermi level, states/eV per atom: 0.82
ρ, g/cm3: 8.79
Spin magnetization, μB/cell: 0.00
VASP energy, eV/cell: -22.09